No. 1
# NiAgRu2 | Alexandria | PBE | optimized geometry
# Excess energy over the best structure of this formula in the dataset ... 233.8 kJ/mol of formula units
# Total magnetization ... 0.963 μB per formula unit
data_NiAgRu2
_chemical_formula_sum 'Ni4 Ag4 Ru8'
_cell_length_a 7.1356
_cell_length_b 7.1356
_cell_length_c 4.9150
_cell_angle_alpha 90.00
_cell_angle_beta 90.00
_cell_angle_gamma 90.00
_space_group_name_H-M_alt 'I -4 2 d'
_space_group_IT_number 122
_space_group_name_Hall 'I -4 2bw'
loop_
_atom_site_label
_atom_site_fract_x
_atom_site_fract_y
_atom_site_fract_z
_atom_site_occupancy
Ni1 0.0000 0.0000 0.0000 1
Ag1 0.0000 0.0000 0.5000 1
Ru1 0.1981 0.7500 0.1250 1

No. 2
# Ni2AgRu | Alexandria | PBE | optimized geometry
# Excess energy over the best structure of this formula in the dataset ... 62.1 kJ/mol of formula units
# Total magnetization ... 1.359 μB per formula unit
data_Ni2AgRu
_chemical_formula_sum 'Ni4 Ag2 Ru2'
_cell_length_a 8.5526
_cell_length_b 2.6303
_cell_length_c 4.9085
_cell_angle_alpha 90.00
_cell_angle_beta 98.38
_cell_angle_gamma 90.00
_space_group_name_H-M_alt 'C 1 2/m 1'
_space_group_IT_number 12
loop_
_space_group_symop_operation_xyz
'x,y,z'
'-x,-y,-z'
'-x,y,-z'
'x,-y,z'
'x+1/2,y+1/2,z'
'-x+1/2,-y+1/2,-z'
'-x+1/2,y+1/2,-z'
'x+1/2,-y+1/2,z'
loop_
_atom_site_label
_atom_site_fract_x
_atom_site_fract_y
_atom_site_fract_z
_atom_site_occupancy
Ni1 0.2451 0.0000 0.2191 1
Ag1 0.0000 0.0000 0.5000 1
Ru1 0.0000 0.5000 0.0000 1

No. 3
# NiAgRu2 | Alexandria | PBE | optimized geometry
# Excess energy over the best structure of this formula in the dataset ... 45.7 kJ/mol of formula units
# Total magnetization ... 0.476 μB per formula unit
data_NiAgRu2
_chemical_formula_sum 'Ni3 Ag3 Ru6'
_cell_length_a 2.7042
_cell_length_b 2.7042
_cell_length_c 26.9742
_cell_angle_alpha 90.00
_cell_angle_beta 90.00
_cell_angle_gamma 120.00
_space_group_name_H-M_alt 'R -3 m'
_space_group_IT_number 166
_space_group_name_Hall '-R 3 2"'
loop_
_atom_site_label
_atom_site_fract_x
_atom_site_fract_y
_atom_site_fract_z
_atom_site_occupancy
Ni1 0.0000 0.0000 0.0000 1
Ag1 0.0000 0.0000 0.5000 1
Ru1 0.0000 0.0000 0.2580 1

So what do the calculations give for formation energy from the elements? Going down the list: 0.86, 0.36, 0.37 eV per atom.